The following is a PBE-GGA calculation of YScO2F after structural relaxation, from Alexandria.

Output
E_form (uncorrected)	-2.463	eV/atom
magnetic moment	0.99	Bohr magnetons per cell
symmetry	P4/mmm
total energy	-36.899	eV for the cell shown

Unit cell a=4.403 b=4.403 c=4.229 alpha=90.00 beta=90.00 gamma=90.00
Last column: magnetic moment on the atom in μB.
Positions (direct):
Y 0.000 0.000 0.000  0.01
Sc 0.500 0.500 0.500  0.81
O 0.000 0.500 0.000  -0.02
O 0.500 0.000 0.000  -0.02
F 0.000 0.000 0.500  0.01